DFT (PBE) results for a relaxed structure of DyYHo2.

Values from the calculation:
* E_tot: -5.04 eV/atom

Cell and atoms, written as CIF:
```
data_DyYHo2
_cell_length_a 5.6301
_cell_length_b 12.4942
_cell_length_c 7.2138
_cell_angle_alpha 90.00
_cell_angle_beta 90.00
_cell_angle_gamma 90.00
_symmetry_space_group_name_H-M 'A m a 2'
_symmetry_Int_Tables_number 40
loop_
_symmetry_equiv_pos_as_xyz
'x,y,z'
'-x,-y,z'
'-x+1/2,y,z'
'x+1/2,-y,z'
'x,y+1/2,z+1/2'
'-x,-y+1/2,z+1/2'
'-x+1/2,y+1/2,z+1/2'
'x+1/2,-y+1/2,z+1/2'
loop_
_atom_site_label
_atom_site_fract_x
_atom_site_fract_y
_atom_site_fract_z
Dy1 0.2500 0.1667 0.0000
Y1 0.2500 0.4168 0.2493
Ho1 0.2500 0.1664 0.4997
Ho2 0.2500 0.4168 0.7504
```